# 1
Compound: RbMgPCl2
Source: the Alexandria database
Functional: PBE-GGA
Structure: optimized geometry

Summary:
Space group: No. 123
Uncorrected formation energy: -4.76 eV per formula unit
Total magnetization: 2.001 μB per formula unit
ΔE to the lowest computed polymorph: 0 meV per atom

a = 5.238 Å, b = 5.238 Å, c = 5.161 Å
α = 90.00°, β = 90.00°, γ = 90.00°
Element x y z (fractional)
Cl 0.000 0.500 0.000
Cl 0.500 0.000 0.000
P 0.000 0.000 0.500
Mg 0.000 0.000 0.000
Rb 0.500 0.500 0.500

# 2
Compound: LaGd2Y
Source: the Alexandria database
Functional: PBE-GGA
Structure: optimized geometry

Summary:
Space group: No. 123
Total magnetization: 14.800 μB per formula unit
ΔE to the lowest computed polymorph: 5 meV per atom
DFT formation energy: 31 meV/atom

a = 3.631 Å, b = 3.631 Å, c = 10.213 Å
α = 90.00°, β = 90.00°, γ = 90.00°
Element x y z (fractional)
Y 0.500 0.500 0.500
La 0.500 0.500 0.000
Gd 0.000 0.000 0.255
Gd 0.000 0.000 0.745

# 3
Compound: CsCd2In2Pb
Source: the Alexandria database
Functional: PBE-GGA
Structure: optimized geometry

Summary:
Space group: No. 164
Total magnetization: 0.000 μB per formula unit
DFT formation energy: -58 meV/atom

a = 5.196 Å, b = 5.196 Å, c = 9.055 Å
α = 90.00°, β = 90.00°, γ = 120.00°
Element x y z (fractional)
Cs 0.000 0.000 0.000
In 0.667 0.333 0.309
In 0.333 0.667 0.691
Pb 0.000 0.000 0.500
Cd 0.667 0.333 0.673
Cd 0.333 0.667 0.327

Number 1: total DFT energy (no corrections) -16.43 eV/f.u.. Number 2: total DFT energy (no corrections) -39.43 eV/f.u.. Number 3: total DFT energy (no corrections) -12.22 eV/f.u..